(1)
Computed, not measured: an optimized crystal structure of Nd8Ni3IrCl4 at the GGA-PBE level of DFT.

Computed properties:
For the uncorrected formation energy, the calculation gives -15.70 eV per formula unit. For the density of states at the Fermi level, the calculation gives 11.171 states/eV per cell. Its space group is No. 166. For the total magnetic moment, the calculation gives 0.00 Bohr magnetons per cell.

The structure in POSCAR format:
```
Nd8Ni3IrCl4
1.0
8.132 0.000 0.000
0.000 8.829 0.486
-4.066 -4.063 5.752
Nd Ni Ir Cl
8 3 1 4
Cartesian
-2.016 2.283 5.911 Nd
0.000 4.298 3.058 Nd
0.000 0.482 3.212 Nd
2.016 2.283 5.910 Nd
2.050 2.483 0.327 Nd
4.066 4.285 3.025 Nd
4.066 0.468 3.180 Nd
6.082 2.483 0.327 Nd
4.066 4.415 0.243 Ni
2.033 2.383 3.119 Ni
-2.033 2.383 3.119 Ni
0.000 4.415 0.243 Ir
4.066 0.000 0.000 Cl
2.033 -2.032 2.876 Cl
0.000 0.000 0.000 Cl
-2.033 -2.032 2.876 Cl
```

---

(2)
Computed, not measured: an optimized crystal structure of Al4FeSi at the GGA-PBE level of DFT.

Computed properties:
For the uncorrected formation energy, the calculation gives 2.05 eV per formula unit. For the density of states at the Fermi level, the calculation gives 2.237 states/eV per cell. Its space group is No. 216. For the total magnetic moment, the calculation gives 2.57 Bohr magnetons per cell.

The structure in POSCAR format:
```
Al4FeSi
1.0
-4.073 -1.635 -2.646
-4.714 0.607 1.918
-3.210 3.389 -2.116
Al Fe Si
4 1 1
Cartesian
-6.533 0.073 -2.385 Al
-6.104 2.574 -2.121 Al
-6.852 1.189 -0.113 Al
-4.506 0.887 -1.068 Al
-8.998 1.771 -2.133 Fe
0.000 0.000 0.000 Si
```

---

(3)
Computed, not measured: an optimized crystal structure of B13P2 at the GGA-PBE level of DFT.

Computed properties:
For the density of states at the Fermi level, the calculation gives 1.863 states/eV per cell. Its space group is No. 166. For the total magnetic moment, the calculation gives 0.00 Bohr magnetons per cell. The formation energy comes out at 0.6759 eV/atom.

The structure in POSCAR format:
```
B13P2
1.0
-3.435 -7.153 3.080
1.138 -7.017 4.681
-2.289 -4.412 6.910
B P
13 2
Cartesian
-2.293 -9.291 7.335 B
-1.275 -7.784 7.139 B
-1.719 -8.844 5.658 B
-3.044 -7.837 6.520 B
-1.542 -10.744 8.151 B
-3.310 -10.797 7.532 B
-2.867 -9.737 9.013 B
-1.170 -8.934 8.644 B
-1.880 -10.632 6.271 B
-4.004 -9.018 7.652 B
-0.582 -9.564 7.019 B
-3.416 -9.648 6.026 B
-2.705 -7.949 8.400 B
-3.336 -13.517 10.672 P
-1.250 -5.064 3.998 P
```

---

(4)
Computed, not measured: an optimized crystal structure of PmHoAlAg at the GGA-PBE level of DFT.

Computed properties:
For the density of states at the Fermi level, the calculation gives 3.220 states/eV per cell. Its space group is No. 99. For the total magnetic moment, the calculation gives 0.00 Bohr magnetons per cell. The formation energy comes out at -0.3484 eV/atom. The calculation puts the excess energy over the best structure of this formula in the dataset at 0 meV per atom.

The structure in POSCAR format:
```
PmHoAlAg
1.0
-2.827 2.156 0.459
-1.595 -1.485 -2.846
-3.245 -5.223 4.543
Pm Ho Al Ag
1 1 1 1
Cartesian
-2.762 -4.445 3.867 Pm
-1.149 -1.849 1.608 Ho
-4.139 -2.768 1.506 Al
-2.629 -0.337 -0.609 Ag
```

---

(5)
Computed, not measured: an optimized crystal structure of Ca2TaHgAs at the GGA-PBE level of DFT.

Computed properties:
For the density of states at the Fermi level, the calculation gives 5.533 states/eV per cell. Its space group is No. 123. For the total magnetic moment, the calculation gives 0.02 Bohr magnetons per cell. The formation energy comes out at 0.3460 eV/atom.

The structure in POSCAR format:
```
Ca2TaHgAs
1.0
-4.495 -3.349 1.639
3.096 -3.696 0.937
0.594 1.891 5.493
As Ca Hg Ta
1 2 1 1
Cartesian
1.548 -1.848 0.469 As
0.297 0.945 2.747 Ca
-2.247 -1.675 0.819 Ca
-0.402 -2.578 4.035 Hg
0.000 0.000 0.000 Ta
```

---

(6)
Computed, not measured: an optimized crystal structure of Ac8Ni3IrCl4 at the GGA-PBE level of DFT.

Computed properties:
For the uncorrected formation energy, the calculation gives -16.49 eV per formula unit. For the density of states at the Fermi level, the calculation gives 11.842 states/eV per cell. Its space group is No. 166. For the total magnetic moment, the calculation gives 0.00 Bohr magnetons per cell.

The structure in POSCAR format:
```
Ac8Ni3IrCl4
1.0
8.624 0.000 0.000
0.000 9.360 0.522
-4.312 -4.316 6.096
Ac Ni Ir Cl
8 3 1 4
Cartesian
-2.155 2.391 6.267 Ac
0.000 4.548 3.220 Ac
0.000 0.518 3.415 Ac
2.155 2.391 6.267 Ac
2.157 2.653 0.351 Ac
4.312 4.525 3.203 Ac
4.312 0.495 3.398 Ac
6.467 2.653 0.351 Ac
4.312 4.680 0.261 Ni
2.156 2.522 3.309 Ni
-2.156 2.522 3.309 Ni
0.000 4.680 0.261 Ir
4.312 0.000 0.000 Cl
2.156 -2.158 3.048 Cl
0.000 0.000 0.000 Cl
-2.156 -2.158 3.048 Cl
```

---

(7)
Computed, not measured: an optimized crystal structure of NiOsRu2 at the GGA-PBE level of DFT.

Computed properties:
For the density of states at the Fermi level, the calculation gives 4.250 states/eV per cell. Its space group is No. 8. For the total magnetic moment, the calculation gives 0.00 Bohr magnetons per cell. The formation energy comes out at 0.1476 eV/atom. The calculation puts the excess energy over the best structure of this formula in the dataset at 64 meV per atom.

The structure in POSCAR format:
```
NiOsRu2
1.0
-4.391 1.416 0.201
-4.432 -1.265 0.283
-0.536 0.147 4.572
Ni Os Ru
1 1 2
Cartesian
-4.686 0.149 2.526 Ni
-2.351 0.075 1.273 Os
-0.003 0.001 0.015 Ru
-6.997 0.223 3.770 Ru
```

---

(8)
Computed, not measured: an optimized crystal structure of OsSeCl2 at the GGA-PBE level of DFT.

Computed properties:
For the uncorrected formation energy, the calculation gives 5.73 eV per formula unit. For the density of states at the Fermi level, the calculation gives 3.805 states/eV per cell. Its space group is No. 123. For the total magnetic moment, the calculation gives 1.33 Bohr magnetons per cell. The calculation puts the excess energy over the best structure of this formula in the dataset at 1547 meV per atom.

The structure in POSCAR format:
```
OsSeCl2
1.0
-0.816 -4.226 -2.337
3.071 1.375 -3.558
2.241 -1.238 1.456
Os Se Cl
1 1 2
Cartesian
0.712 -2.732 -0.441 Os
2.656 0.068 -1.051 Se
0.000 0.000 0.000 Cl
1.127 -1.425 -2.948 Cl
```

---

- What is the formula in the second record?
  Al4FeSi